[1]
Crystalline HoBeSi at its relaxed geometry. Source: Alexandria, functional PBE.

```
HoBeSi
1.0
3.656 0.000 0.000
-1.828 5.136 0.000
0.000 0.000 5.434
Ho Si Be
2 2 2
Cartesian
1.828 2.022 1.358
0.000 3.113 4.075
1.828 0.865 4.075
0.000 4.271 1.358
0.000 0.000 0.000
0.000 0.000 2.717
```

Values from the calculation:
E_form (uncorrected): -1.12 eV per formula unit

[2]
Crystalline Ba2Zn2Sn at its relaxed geometry. Source: Alexandria, functional PBE.

```
Ba2Zn2Sn
1.0
-5.893 2.804 0.654
-0.887 -0.349 -6.489
-5.075 -2.412 -2.491
Ba Zn Sn
2 2 1
Cartesian
-4.676 -0.767 -5.949
-7.179 0.810 -2.377
-7.959 -0.093 -5.536
-3.896 0.135 -2.789
0.000 0.000 0.000
```

Values from the calculation:
energy: -2.271 eV/atom

[3]
Crystalline Ca3Ge4Ir4 at its relaxed geometry. Source: Alexandria, functional PBE.

```
Ca3Ge4Ir4
1.0
-4.550 -3.058 -3.722
2.824 -4.388 4.084
-2.904 4.777 3.557
Ge Ca Ir
4 3 4
Cartesian
-1.086 1.786 1.330
1.056 -1.640 1.527
-1.701 -1.143 -1.392
-2.899 -1.671 2.454
-3.727 0.860 -0.083
-0.040 0.195 3.820
-0.863 -3.723 0.181
-3.324 -2.234 -2.720
-1.247 -0.719 1.055
2.064 -3.206 2.984
-2.122 3.490 2.599
```

Values from the calculation:
energy: -6.115 eV/atom

[4]
Crystalline ErCoSi2Rh at its relaxed geometry. Source: Alexandria, functional PBE.

```
ErCoSi2Rh
1.0
3.957 0.000 0.000
0.000 3.957 0.000
-1.978 -1.978 4.935
Rh Si Co Er
1 2 1 1
Cartesian
0.000 1.978 2.468
0.000 0.000 3.718
1.978 1.978 1.217
1.978 0.000 2.468
0.000 0.000 0.000
```

Values from the calculation:
E_form (uncorrected): -4.78 eV per formula unit

[5]
Crystalline Rb2PNCl6 at its relaxed geometry. Source: Alexandria, functional PBE.

```
Rb2PNCl6
1.0
-4.206 -5.937 -2.222
3.035 -4.227 5.549
-3.912 -3.778 4.476
Cl Rb N P
6 2 1 1
Cartesian
1.458 -4.599 3.857
-2.630 -5.564 -0.530
-0.917 -7.951 2.603
-2.217 -4.442 3.043
-0.255 -2.213 0.724
-2.867 -9.499 4.761
-4.352 -7.398 1.959
-0.732 -6.543 5.845
-0.586 -5.082 1.664
0.000 0.000 0.000
```

Values from the calculation:
E_form (uncorrected): -5.65 eV per formula unit

[6]
Crystalline SrMgZr at its relaxed geometry. Source: Alexandria, functional PBE.

```
SrMgZr
1.0
3.432 0.000 0.000
-1.716 2.963 0.000
0.000 0.000 17.284
Mg Sr Zr
2 2 2
Cartesian
0.000 1.633 8.642
1.716 0.671 0.000
0.000 1.644 3.117
0.000 1.644 14.167
1.716 0.660 6.136
1.716 0.660 11.149
```

Values from the calculation:
energy relative to the lowest polymorph listed for this composition: 0.76 eV/f.u.